A relaxed structure of Hg7AuBr12, computed with PBE.

Cell lengths 9.801, 9.801, 9.801 Å; angles 109.07, 109.07, 109.07 degrees
Positions (direct):
1 Au 0.000 0.000 0.000
2 Hg 0.907 0.969 0.670
3 Br 0.671 0.183 0.011
4 Br 0.989 0.329 0.817
5 Br 0.183 0.011 0.671
6 Br 0.411 0.168 0.438
7 Hg 0.031 0.330 0.093
8 Hg 0.670 0.907 0.969
9 Br 0.817 0.989 0.329
10 Br 0.562 0.589 0.832
11 Hg 0.330 0.093 0.031
12 Br 0.438 0.411 0.168
13 Br 0.329 0.817 0.989
14 Br 0.589 0.832 0.562
15 Br 0.011 0.671 0.183
16 Hg 0.093 0.031 0.330
17 Br 0.168 0.438 0.411
18 Hg 0.500 0.500 0.500
19 Hg 0.969 0.670 0.907
20 Br 0.832 0.562 0.589

Computed properties:
Its uncorrected energy is -1.56 eV per atom. The value obtained for the formation energy without anion corrections is -0.289 eV/atom. Its space group is No. 148. The crystal system is trigonal.